Record 1
Computed, not measured: crystalline Zn2CuIr2 at its relaxed geometry at the PBE level of DFT.

Output
Magnetization   0.000 μB per atom
Energy of formation   -0.22 eV per formula unit
Mass density   13.80 g/cm3

Unit cell a=9.181 b=4.675 c=7.029 alpha=90.00 beta=112.61 gamma=90.00
Space group C2/c (No. 15)
Symmetry-distinct sites (fractional):
1 Zn 0.196 0.156 0.148 [8 per cell]
2 Cu 0.000 0.175 0.750 [4 per cell]
3 Ir 0.102 0.337 0.449 [8 per cell]

Record 2
Computed, not measured: crystalline Zn4Cu7Ir at its relaxed geometry at the PBE level of DFT.

Output
Magnetization   0.000 μB per atom
Energy of formation   -0.66 eV per formula unit
Mass density   9.62 g/cm3

Unit cell a=4.590 b=5.249 c=6.990 alpha=101.57 beta=96.14 gamma=107.23
Space group P-1 (No. 2)
Symmetry-distinct sites (fractional):
1 Zn 0.002 0.323 0.339 [2 per cell]
2 Zn 0.498 0.586 0.832 [2 per cell]
3 Cu 0.000 0.500 0.000 [1 per cell]
4 Cu 0.001 0.172 0.669 [2 per cell]
5 Cu 0.497 0.913 0.171 [2 per cell]
6 Cu 0.499 0.246 0.502 [2 per cell]
7 Ir 0.000 0.000 0.000 [1 per cell]